This record from Alexandria describes crystalline AcSm4Y2 at its relaxed geometry. The functional is PBE.

```
14
Lattice="-3.193 2.682 4.136 -7.146 0.817 -6.046 -3.337 -8.319 2.819" Properties=species:S:1:pos:R:3 pbc="T T T"
Ac -1.596 1.341 2.068
Ac -5.241 -3.751 -1.614
Sm -2.249 -3.164 0.316
Sm -8.234 -4.338 -3.543
Sm -4.466 -3.822 3.201
Sm -9.210 -0.998 -2.293
Sm -7.213 -5.788 2.355
Sm -6.463 0.968 -1.447
Sm -3.247 -0.769 -2.008
Sm -7.236 -6.733 -1.220
Y -4.085 -6.524 1.076
Y -6.397 -0.978 -4.304
Y -8.898 -3.884 -0.180
Y -4.778 -0.936 1.089
```

Calculated values
Final energy, eV per atom: -4.91
SG: P4_2/mnm (136)
Total magnetization, Bohr magnetons per cell: 0.00

This record from Alexandria describes crystalline Ac2SmY at its relaxed geometry. The functional is PBE.

```
32
Lattice="12.119 -4.323 -0.221 -7.645 10.350 -0.221 0.461 0.621 13.501" Properties=species:S:1:pos:R:3 pbc="T T T"
Ac 7.187 -0.660 -0.218
Ac 7.417 -0.350 6.527
Ac -2.250 7.309 13.278
Ac -2.481 6.999 6.532
Ac 7.979 1.333 3.037
Ac 5.738 -1.686 3.271
Ac -3.043 5.315 10.022
Ac -0.802 8.334 9.788
Ac 1.356 1.812 6.636
Ac 3.363 4.516 -0.327
Ac 3.581 4.836 6.424
Ac 1.573 2.133 13.386
Ac 11.798 -3.844 3.154
Ac -6.862 10.492 9.905
Ac 1.907 3.500 3.154
Ac 3.029 3.149 9.905
Sm 4.214 0.067 11.840
Sm 6.322 2.906 7.969
Sm 0.722 6.581 1.219
Sm -1.385 3.743 5.090
Sm 0.268 5.078 8.071
Sm 0.383 5.234 11.739
Sm 4.668 1.570 4.988
Sm 4.553 1.415 1.321
Y 10.144 -2.253 8.070
Y 10.259 -2.099 11.739
Y -5.208 8.902 4.989
Y -5.323 8.748 1.320
Y 4.076 -0.105 8.168
Y 6.447 3.088 11.642
Y 0.860 6.754 4.892
Y -1.511 3.561 1.417
```

Calculated values
Final energy, eV per atom: -4.73
SG: C2/c (15)
Total magnetization, Bohr magnetons per cell: 0.00

This record from Alexandria describes crystalline Ac2Sm7Y2 at its relaxed geometry. The functional is PBE.

```
11
Lattice="-5.423 2.564 -3.126 4.669 -4.368 -7.092 -2.638 -6.228 0.076" Properties=species:S:1:pos:R:3 pbc="T T T"
Ac -3.220 -3.370 -1.819
Ac -0.172 -4.662 -8.323
Sm -0.658 -0.667 -2.985
Sm 2.230 -5.109 -5.280
Sm -2.733 -7.365 -7.158
Sm -5.621 -2.922 -4.863
Sm -3.243 -0.485 -5.223
Sm 0.000 0.000 0.000
Sm -0.148 -7.546 -4.919
Y -3.002 -4.610 -5.566
Y -0.389 -3.422 -4.577
```

Calculated values
Final energy, eV per atom: -4.60
SG: C2/m (12)
Total magnetization, Bohr magnetons per cell: 0.00